# 1
A plane-wave DFT calculation with PBE was carried out for an optimized crystal structure of LaDy6Er12.

- E above lowest polymorph (eV per formula unit) = 5.159
- E_form (eV/atom) = 0.431

a b c (Å): 15.0176 15.0176 9.8929
angles (deg): 90.00 90.00 120.00
Space group R-3m (No. 166, hexagonal axes)
Inequivalent atoms, fractional coordinates:
La1 0.0000 0.0000 0.0000 [3 per cell]
Dy1 0.0470 0.5235 0.2084 [18 per cell]
Er1 0.0000 0.3901 0.5000 [18 per cell]
Er2 0.0715 0.1431 0.3020 [18 per cell]

# 2
A plane-wave DFT calculation with PBE was carried out for an optimized crystal structure of La5Dy4Er2.

- E above lowest polymorph (eV per formula unit) = 0.000
- E_form (eV/atom) = 0.080

a b c (Å): 17.817 3.568 11.747
angles (deg): 90.00 93.91 90.00
Space group C2/m (No. 12)
Inequivalent atoms, fractional coordinates:
La1 0.000 0.000 0.000 [2 per cell]
La2 0.097 0.500 0.535 [4 per cell]
La3 0.177 0.500 0.073 [4 per cell]
Dy1 0.037 0.500 0.263 [4 per cell]
Dy2 0.141 0.000 0.797 [4 per cell]
Er1 0.216 0.000 0.351 [4 per cell]

# 3
A plane-wave DFT calculation with PBE was carried out for an optimized crystal structure of La16Dy6Er7.

- E_form (eV/atom) = 0.189

a b c (Å): 16.191 16.191 16.191
angles (deg): 90.00 90.00 90.00
Space group Fm-3m (No. 225)
Inequivalent atoms, fractional coordinates:
La1 0.125 0.125 0.125 [32 per cell]
La2 0.148 0.148 0.352 [32 per cell]
Dy1 0.000 0.000 0.259 [24 per cell]
Er1 0.000 0.000 0.000 [4 per cell]
Er2 0.000 0.250 0.250 [24 per cell]

| no. | D(E_F) (states/eV/atom) | electronic total energy (eV per atom) |
| --- | --- | --- |
| 1 | 1.23 | -4.163 |
| 2 | 1.43 | -4.662 |
| 3 | 1.54 | -4.583 |